# GdTmC2Cl2 GGA-PBE relaxed
# E_tot ... -6.455 eV/atom
data_GdTmC2Cl2
_chemical_formula_sum 'Gd1 Tm1 C2 Cl2'
_cell_length_a 3.921
_cell_length_b 3.921
_cell_length_c 10.671
_cell_angle_alpha 94.88
_cell_angle_beta 94.88
_cell_angle_gamma 56.56
_symmetry_space_group_name_H-M 'P 1'
_symmetry_Int_Tables_number 1
_symmetry_space_group_name_Hall 'P 1'
loop_
_atom_site_label
_atom_site_type_symbol
_atom_site_fract_x
_atom_site_fract_y
_atom_site_fract_z
C1 C 0.425 0.425 0.532
C2 C 0.572 0.572 0.459
Gd1 Gd 0.145 0.145 0.639
Cl1 Cl 0.181 0.181 0.205
Cl2 Cl 0.823 0.823 0.803
Tm1 Tm 0.853 0.853 0.362